No. 1
DFT (PBE) results for a geometry-optimized NaTlO2 structure.

The structure in POSCAR format:
```
NaTlO2
1.0
3.400 0.000 0.000
-1.700 2.944 0.000
0.000 0.000 11.417
Na Tl O
2 2 4
Direct
0.667 0.333 0.250
0.333 0.667 0.750
0.000 0.000 0.500
0.000 0.000 0.000
0.333 0.667 0.389
0.667 0.333 0.889
0.667 0.333 0.611
0.333 0.667 0.111
```

final energy = -35.6 eV/cell
total magnetic moment = 0.000 μB/cell

No. 2
DFT (PBE) results for a geometry-optimized La3SmDy6Tm2 structure.

The structure in POSCAR format:
```
La3SmDy6Tm2
1.0
6.224 -0.002 0.003
-3.112 5.390 0.003
-1.045 -1.809 11.700
La Sm Dy Tm
3 1 6 2
Direct
0.167 0.833 0.500
0.833 0.167 0.500
0.500 0.500 0.500
0.000 0.000 0.000
0.919 0.585 0.756
0.747 0.747 0.244
0.081 0.415 0.244
0.585 0.919 0.756
0.253 0.253 0.756
0.415 0.081 0.244
0.333 0.667 0.000
0.667 0.333 0.000
```

total magnetic moment = 0.000 μB/cell
energy of formation from the pure elements = 0.023 eV/atom

No. 3
DFT (PBE) results for a geometry-optimized LaAlGePt3 structure.

The structure in POSCAR format:
```
LaAlGePt3
1.0
-2.762 -4.892 -0.204
2.110 -0.925 -6.405
4.602 -2.829 5.542
La Al Ge Pt
2 2 2 6
Direct
0.750 0.271 0.542
0.250 0.729 0.458
0.250 0.046 0.091
0.750 0.954 0.909
0.250 0.397 0.794
0.750 0.603 0.206
0.250 0.222 0.444
0.000 0.286 0.000
0.500 0.714 0.000
0.500 0.286 0.000
0.000 0.714 0.000
0.750 0.778 0.556
```

total magnetic moment = 0.000 μB/cell
energy of formation from the pure elements = -0.804 eV/atom

No. 4
DFT (PBE) results for a geometry-optimized BaMg3Pb4 structure.

The structure in POSCAR format:
```
BaMg3Pb4
1.0
5.388 -0.020 0.000
-0.020 5.388 0.000
0.000 0.000 8.778
Pb Mg Ba
4 3 1
Direct
0.000 0.500 0.182
0.000 0.500 0.818
0.500 0.000 0.818
0.500 0.000 0.182
0.000 0.000 0.000
0.500 0.500 0.336
0.500 0.500 0.664
0.000 0.000 0.500
```

total magnetic moment = 0.000 μB/cell
energy of formation from the pure elements = -0.140 eV/atom

No. 5
DFT (PBE) results for a geometry-optimized LiErUN3 structure.

The structure in POSCAR format:
```
LiErUN3
1.0
3.252 0.000 0.000
0.000 7.234 0.309
0.000 -1.593 6.505
Li Er U N
2 2 2 6
Direct
0.250 0.085 0.590
0.750 0.915 0.410
0.250 0.649 0.190
0.750 0.351 0.810
0.250 0.181 0.208
0.750 0.819 0.792
0.750 0.879 0.117
0.250 0.121 0.883
0.250 0.814 0.543
0.750 0.186 0.457
0.750 0.408 0.162
0.250 0.592 0.838
```

final energy = -99.2 eV/cell
total magnetic moment = 1.597 μB/cell

No. 6
DFT (PBE) results for a geometry-optimized CsSiAs structure.

The structure in POSCAR format:
```
CsSiAs
1.0
3.967 0.837 0.042
2.984 4.348 0.380
0.546 0.636 12.792
Cs Si As
2 2 2
Direct
0.288 0.366 0.664
0.903 0.142 0.159
0.854 0.735 0.959
0.336 0.774 0.863
0.200 0.975 0.447
0.991 0.534 0.375
```

final energy = -21.5 eV/cell
total magnetic moment = 0.000 μB/cell